No. 1
TeOsS2 | SCAN | PBEsol geometry

Summary:
- uncorrected energy (eV per atom) = -32.10
- space group = No. 166
- V (Å³/atom) = 20.951

a b c (Å): 3.5540 3.5540 7.9314
angles (deg): 77.05 77.05 60.00
Fractional coordinates of all 4 atoms:
S (0.8832, 0.8832, 0.3505)
Te (0.0000, 0.0000, 0.0000)
Os (0.5000, 0.5000, 0.5000)
S (0.1168, 0.1168, 0.6495)

No. 2
ZnTeOsS2 | SCAN | PBEsol geometry

Summary:
- uncorrected energy (eV per atom) = -26.74
- space group = No. 123
- V (Å³/atom) = 24.354

a b c (Å): 4.9432 4.9432 4.9834
angles (deg): 90.00 90.00 90.00
Last column: magnetic moment on the atom in μB.
Fractional coordinates of all 5 atoms:
Os (0.5000, 0.5000, 0.5000)  2.84
Te (0.0000, 0.0000, 0.0000)  0.01
S (0.0000, 0.5000, 0.0000)  0.04
S (0.5000, 0.0000, 0.0000)  0.04
Zn (0.0000, 0.0000, 0.5000)  -0.01

No. 3
TlOsS3 | SCAN | PBEsol geometry

Summary:
- uncorrected energy (eV per atom) = -34.37
- space group = No. 221
- V (Å³/atom) = 20.163

a b c (Å): 4.6542 4.6542 4.6542
angles (deg): 90.00 90.00 90.00
Fractional coordinates of all 5 atoms:
S (0.0000, 0.5000, 0.0000)
Os (0.0000, 0.0000, 0.0000)
Tl (0.5000, 0.5000, 0.5000)
S (0.5000, 0.0000, 0.0000)
S (0.0000, 0.0000, 0.5000)

No. 4
TlOsS2 | SCAN | PBEsol geometry

Summary:
- uncorrected energy (eV per atom) = -40.97
- space group = No. 166
- V (Å³/atom) = 21.993

a b c (Å): 3.5296 3.5296 8.4046
angles (deg): 77.88 77.88 60.00
Fractional coordinates of all 4 atoms:
S (0.8813, 0.8813, 0.3561)
S (0.1187, 0.1187, 0.6439)
Os (0.5000, 0.5000, 0.5000)
Tl (0.0000, 0.0000, 0.0000)

- uncorrected energy of number 4 (TlOsS2)?
  -40.97 eV per atom

- Among the records above, which one has the highest uncorrected energy?
  ZnTeOsS2

- Which of these has the lowest V?
  TlOsS3